This record from Alexandria via LeMat-Bulk describes a geometry-optimized BrCl2F structure. The functional is PBE.

Output
DOS at the Fermi energy = 2.11 states/eV per atom
ρ = 2.98 g/cm³
Energy relative to the elements, uncorrected = 0.4047 eV/atom
Offset from the most stable computed form = 539 meV per atom

Geometry as extended XYZ:
```
8
Lattice="-2.412 2.412 8.138 2.412 -2.412 8.138 2.412 2.412 -8.138" Properties=species:S:1:pos:R:3 pbc="T T T"
Br 0.000 0.000 0.000
Br 0.000 2.412 4.069
Cl 3.618 1.004 -2.034
Cl 1.004 1.206 2.034
Cl -1.206 1.408 6.103
Cl 1.408 1.206 10.172
F 2.412 0.000 4.069
F 0.000 0.000 8.138
```